Material: CaZr3Ti
Method: DFT, meta-GGA SCAN
State: single point on PBEsol structure

Polymorph energy (0 for the lowest one) in meV/atom: 0
E_tot in eV/atom: -22.904
Formation enthalpy at 0 K in meV/atom: 654

a = 5.038 Å, b = 5.038 Å, c = 5.038 Å
α = 90.00°, β = 90.00°, γ = 90.00°
Positions (direct):
Ca 0.500 0.500 0.500
Zr 0.000 0.500 0.000
Zr 0.500 0.000 0.000
Zr 0.000 0.000 0.500
Ti 0.000 0.000 0.000